A plane-wave DFT calculation with PBE-GGA was carried out for crystalline Cr3PbI at its relaxed geometry.

a = 5.3405 Å, b = 5.3405 Å, c = 5.3405 Å
α = 90.00°, β = 90.00°, γ = 90.00°
Atoms (fractional coordinates):
Cr 0.0000 0.0000 0.5000
Cr 0.0000 0.5000 0.0000
Cr 0.5000 0.0000 0.0000
Pb 0.0000 0.0000 0.0000
I 0.5000 0.5000 0.5000

Properties
Raw total energy, eV/atom: -5.64
Formation energy from raw total energies, eV/atom: 1.1811